First-principles (meta-GGA SCAN) data for a PBEsol-optimized structure of Al2FeMo, as listed in Alexandria.

Cell and atoms, written as CIF:
```
data_Al2FeMo
_cell_length_a 2.816
_cell_length_b 2.816
_cell_length_c 6.586
_cell_angle_alpha 90.00
_cell_angle_beta 90.00
_cell_angle_gamma 90.00
_space_group_name_H-M_alt 'P 4/m m m'
_space_group_IT_number 123
_space_group_name_Hall '-P 4 2'
loop_
_atom_site_label
_atom_site_fract_x
_atom_site_fract_y
_atom_site_fract_z
Al1 0.000 0.000 0.206
Fe1 0.500 0.500 0.000
Mo1 0.500 0.500 0.500
```

Computed properties:
The calculation puts the energy of formation from the pure elements at -0.24 eV per atom. The calculation puts the energy above the most stable polymorph in this dataset at 0.0 meV per atom. The final energy is -69.49 eV/cell.

=====

First-principles (meta-GGA SCAN) data for a PBEsol-optimized structure of TlAg2Au, as listed in Alexandria.

Cell and atoms, written as CIF:
```
data_TlAg2Au
_cell_length_a 4.158
_cell_length_b 4.158
_cell_length_c 8.534
_cell_angle_alpha 90.00
_cell_angle_beta 90.00
_cell_angle_gamma 90.00
_space_group_name_H-M_alt 'I -4 m 2'
_space_group_IT_number 119
_space_group_name_Hall 'I -4 -2'
loop_
_atom_site_label
_atom_site_fract_x
_atom_site_fract_y
_atom_site_fract_z
Tl1 0.000 0.000 0.000
Ag1 0.000 0.000 0.500
Ag2 0.000 0.500 0.250
Au1 0.000 0.500 0.750
```

Computed properties:
The calculation puts the energy of formation from the pure elements at 0.05 eV per atom. The calculation puts the energy above the most stable polymorph in this dataset at 0.0 meV per atom. The final energy is -408.09 eV/cell.

=====

First-principles (meta-GGA SCAN) data for a PBEsol-optimized structure of CoNiPt, as listed in Alexandria.

Cell and atoms, written as CIF:
```
data_CoNiPt
_cell_length_a 2.624
_cell_length_b 2.624
_cell_length_c 10.547
_cell_angle_alpha 90.00
_cell_angle_beta 90.00
_cell_angle_gamma 90.00
_space_group_name_H-M_alt 'I 4 m m'
_space_group_IT_number 107
_space_group_name_Hall 'I 4 -2'
loop_
_atom_site_label
_atom_site_fract_x
_atom_site_fract_y
_atom_site_fract_z
Co1 0.000 0.000 0.000
Ni1 0.000 0.000 0.650
Pt1 0.000 0.000 0.328
```

Computed properties:
The calculation puts the energy of formation from the pure elements at -0.08 eV per atom. The calculation puts the energy above the most stable polymorph in this dataset at 42.1 meV per atom. The final energy is -207.84 eV/cell.

=====

First-principles (meta-GGA SCAN) data for a PBEsol-optimized structure of BaBr3O, as listed in Alexandria.

Cell and atoms, written as CIF:
```
data_BaBr3O
_cell_length_a 6.297
_cell_length_b 6.297
_cell_length_c 6.297
_cell_angle_alpha 90.00
_cell_angle_beta 90.00
_cell_angle_gamma 90.00
_space_group_name_H-M_alt 'P m -3 m'
_space_group_IT_number 221
_space_group_name_Hall '-P 4 2 3'
loop_
_atom_site_label
_atom_site_fract_x
_atom_site_fract_y
_atom_site_fract_z
Ba1 0.000 0.000 0.000
Br1 0.000 0.000 0.500
O1 0.500 0.500 0.500
```

Computed properties:
The uncorrected formation energy comes out at -0.45 eV per atom. The calculation puts the energy above the most stable polymorph in this dataset at 499.1 meV per atom. The final energy is -106.41 eV/cell.

=====

First-principles (meta-GGA SCAN) data for a PBEsol-optimized structure of Mg2GaCu2, as listed in Alexandria.

Cell and atoms, written as CIF:
```
data_Mg2GaCu2
_cell_length_a 3.312
_cell_length_b 3.312
_cell_length_c 15.502
_cell_angle_alpha 90.00
_cell_angle_beta 90.00
_cell_angle_gamma 90.00
_space_group_name_H-M_alt 'I 4/m m m'
_space_group_IT_number 139
_space_group_name_Hall '-I 4 2'
loop_
_atom_site_label
_atom_site_fract_x
_atom_site_fract_y
_atom_site_fract_z
Mg1 0.000 0.000 0.111
Ga1 0.000 0.000 0.500
Cu1 0.000 0.500 0.250
```

Computed properties:
The calculation puts the energy of formation from the pure elements at 0.00 eV per atom. The final energy is -113.36 eV/cell.

=====

First-principles (meta-GGA SCAN) data for a PBEsol-optimized structure of TlFe2As, as listed in Alexandria.

Cell and atoms, written as CIF:
```
data_TlFe2As
_cell_length_a 7.687
_cell_length_b 3.064
_cell_length_c 6.057
_cell_angle_alpha 90.00
_cell_angle_beta 101.88
_cell_angle_gamma 90.00
_space_group_name_H-M_alt 'C 1 m 1'
_space_group_IT_number 8
_space_group_name_Hall 'C -2y'
loop_
_atom_site_label
_atom_site_fract_x
_atom_site_fract_y
_atom_site_fract_z
Tl1 0.000 0.000 0.000
Fe1 0.263 0.500 0.285
Fe2 0.493 0.000 0.438
As1 0.232 0.000 0.589
```

Computed properties:
The calculation puts the energy of formation from the pure elements at 0.28 eV per atom. The calculation puts the energy above the most stable polymorph in this dataset at 0.0 meV per atom. The final energy is -255.35 eV/cell.

=====

First-principles (meta-GGA SCAN) data for a PBEsol-optimized structure of BiPCl, as listed in Alexandria.

Cell and atoms, written as CIF:
```
data_BiPCl
_cell_length_a 9.485
_cell_length_b 4.189
_cell_length_c 7.977
_cell_angle_alpha 90.00
_cell_angle_beta 96.20
_cell_angle_gamma 90.00
_space_group_name_H-M_alt 'C 1 2/m 1'
_space_group_IT_number 12
_space_group_name_Hall '-C 2y'
loop_
_atom_site_label
_atom_site_fract_x
_atom_site_fract_y
_atom_site_fract_z
Bi1 0.174 0.000 0.269
P1 0.108 0.500 0.470
Cl1 0.129 0.000 0.844
```

Computed properties:
The uncorrected formation energy comes out at -0.38 eV per atom. The final energy is -392.38 eV/cell.

=====

First-principles (meta-GGA SCAN) data for a PBEsol-optimized structure of Mo2P2O11, as listed in Alexandria.

Cell and atoms, written as CIF:
```
data_Mo2P2O11
_cell_length_a 7.613
_cell_length_b 6.349
_cell_length_c 9.020
_cell_angle_alpha 90.00
_cell_angle_beta 105.07
_cell_angle_gamma 90.00
_space_group_name_H-M_alt 'P 1 21/m 1'
_space_group_IT_number 11
_space_group_name_Hall '-P 2yb'
loop_
_atom_site_label
_atom_site_fract_x
_atom_site_fract_y
_atom_site_fract_z
Mo1 0.105 0.250 0.217
Mo2 0.328 0.250 0.650
P1 0.007 0.750 0.168
P2 0.438 0.750 0.619
O1 0.108 0.250 0.709
O2 0.123 0.750 0.837
O3 0.124 0.250 0.990
O4 0.132 0.557 0.202
O5 0.151 0.250 0.417
O6 0.315 0.554 0.620
O7 0.395 0.250 0.248
O8 0.473 0.250 0.823
O9 0.481 0.750 0.460
```

Computed properties:
The uncorrected formation energy comes out at -2.22 eV per atom. The calculation puts the energy above the most stable polymorph in this dataset at 0.0 meV per atom. The final energy is -384.88 eV/cell.

=====

First-principles (meta-GGA SCAN) data for a PBEsol-optimized structure of FeCo2Se4, as listed in Alexandria.

Cell and atoms, written as CIF:
```
data_FeCo2Se4
_cell_length_a 11.544
_cell_length_b 3.508
_cell_length_c 6.051
_cell_angle_alpha 90.00
_cell_angle_beta 119.36
_cell_angle_gamma 90.00
_space_group_name_H-M_alt 'C 1 2/m 1'
_space_group_IT_number 12
_space_group_name_Hall '-C 2y'
loop_
_atom_site_label
_atom_site_fract_x
_atom_site_fract_y
_atom_site_fract_z
Fe1 0.000 0.000 0.000
Co1 0.237 0.500 0.718
Se1 0.120 0.000 0.453
Se2 0.133 0.500 0.975
```

Computed properties:
The uncorrected formation energy comes out at -0.28 eV per atom. The calculation puts the energy above the most stable polymorph in this dataset at 0.0 meV per atom. The final energy is -270.04 eV/cell.

=====

First-principles (meta-GGA SCAN) data for a PBEsol-optimized structure of Al6Ge5, as listed in Alexandria.

Cell and atoms, written as CIF:
```
data_Al6Ge5
_cell_length_a 11.4075
_cell_length_b 11.4075
_cell_length_c 11.6318
_cell_angle_alpha 90.00
_cell_angle_beta 90.00
_cell_angle_gamma 120.00
_space_group_name_H-M_alt 'R -3 c'
_space_group_IT_number 167
_space_group_name_Hall '-R 3 2"c'
loop_
_atom_site_label
_atom_site_fract_x
_atom_site_fract_y
_atom_site_fract_z
Al1 0.0749 0.2386 0.4090
Ge1 0.0000 0.0000 0.1430
Ge2 0.0000 0.3512 0.2500
```

Computed properties:
The calculation puts the energy of formation from the pure elements at 0.04 eV per atom. The final energy is -848.85 eV/cell.